Version w
Here is a relaxed Ta4Re crystal from Alexandria. Energies are from PBEsol.

Lattice parameters (Å, degrees): 3.1802 5.3881 5.3881 85.00 72.84 72.84
Fractional positions:
Re 0.0000 0.0000 0.0000
Ta 0.2070 0.1975 0.3885
Ta 0.7930 0.8025 0.6115
Ta 0.4045 0.3885 0.8025
Ta 0.5955 0.6115 0.1975

As for the crystal system: tetragonal.

---

Version x
Here is a relaxed Ta4Re crystal from Alexandria. Energies are from PBEsol.

Lattice parameters (Å, degrees): 5.1411 5.1411 5.1411 109.47 109.47 109.47
Fractional positions:
Re 0.0000 0.0000 0.0000
Ta 0.0000 0.0000 0.5000
Ta 0.0000 0.5000 0.0000
Ta 0.5000 0.0000 0.0000
Ta 0.5000 0.5000 0.5000

As for the crystal system: cubic.

---

Least stable of them? version x.

---

Version w
Here is a relaxed TaReTe2 crystal from Alexandria. Energies are from PBEsol.

Lattice parameters (Å, degrees): 3.3706 4.7357 6.6863 99.12 90.00 110.85
Fractional positions:
Re 0.4846 0.9693 0.4268
Ta 0.7632 0.5264 0.3176
Te 0.0183 0.0366 0.1051
Te 0.2339 0.4677 0.6505

As for the crystal system: monoclinic.

---

Version x
Here is a relaxed TaReTe2 crystal from Alexandria. Energies are from PBEsol.

Lattice parameters (Å, degrees): 3.1921 3.1921 8.7560 79.50 79.50 60.00
Fractional positions:
Re 0.5000 0.5000 0.5000
Ta 0.0000 0.0000 0.0000
Te 0.2467 0.2467 0.2599
Te 0.7533 0.7533 0.7401

As for the crystal system: trigonal.

---

Least stable of them? version x.

---

Version w
Here is a relaxed TaTlRe2 crystal from Alexandria. Energies are from PBEsol.

Lattice parameters (Å, degrees): 4.5601 4.5601 4.5601 60.00 60.00 60.00
Fractional positions:
Re 0.0000 0.0000 0.0000
Re 0.7500 0.7500 0.7500
Ta 0.5000 0.5000 0.5000
Tl 0.2500 0.2500 0.2500

As for the crystal system: cubic.

---

Version x
Here is a relaxed TaTlRe2 crystal from Alexandria. Energies are from PBEsol.

Lattice parameters (Å, degrees): 3.0371 4.9168 4.9248 103.21 90.00 107.99
Fractional positions:
Re 0.7346 0.4692 0.7211
Re 0.2654 0.5308 0.2789
Ta 0.0000 0.0000 0.5000
Tl 0.5000 0.0000 0.0000

As for the crystal system: monoclinic.

---

Version y
Here is a relaxed TaTlRe2 crystal from Alexandria. Energies are from PBEsol.

Lattice parameters (Å, degrees): 4.5540 4.5540 4.5540 60.00 60.00 60.00
Fractional positions:
Re 0.2500 0.2500 0.2500
Re 0.7500 0.7500 0.7500
Ta 0.0000 0.0000 0.0000
Tl 0.5000 0.5000 0.5000

As for the crystal system: cubic.

---

Least stable of them? version w.